A plane-wave DFT calculation with PBE was carried out for a relaxed structure of UZn2Tc.

Values from the calculation:
Energy above the lowest structure with this stoichiometry, meV per atom: 0

Cell lengths 4.815, 6.216, 4.930 Å; angles 90.00, 107.20, 90.00 degrees
Fractional coordinates of all 8 atoms:
1 U 0.038 0.250 0.133
2 U 0.962 0.750 0.867
3 Zn 0.422 0.045 0.727
4 Zn 0.422 0.455 0.727
5 Zn 0.578 0.545 0.273
6 Zn 0.578 0.955 0.273
7 Tc 0.089 0.750 0.359
8 Tc 0.911 0.250 0.641


A plane-wave DFT calculation with PBE was carried out for a relaxed structure of U2ZnTc4.

Cell lengths 5.515, 5.515, 5.515 Å; angles 116.36, 116.36, 96.44 degrees
Fractional coordinates of all 7 atoms:
1 U 0.000 0.500 0.500
2 U 0.500 0.000 0.500
3 Zn 0.000 0.000 0.000
4 Tc 0.000 0.000 0.500
5 Tc 0.000 0.500 0.000
6 Tc 0.500 0.000 0.000
7 Tc 0.500 0.500 0.500


A plane-wave DFT calculation with PBE was carried out for a relaxed structure of UZnTc2.

Values from the calculation:
Energy above the lowest structure with this stoichiometry, meV per atom: 0

Cell lengths 4.275, 4.275, 3.561 Å; angles 90.00, 90.00, 90.00 degrees
Fractional coordinates of all 4 atoms:
1 U 0.000 0.000 0.000
2 Zn 0.500 0.500 0.000
3 Tc 0.000 0.500 0.500
4 Tc 0.500 0.000 0.500


A plane-wave DFT calculation with PBE was carried out for a relaxed structure of U2Zn15Tc2.

Cell lengths 6.756, 6.756, 6.756 Å; angles 86.33, 86.33, 86.33 degrees
Fractional coordinates of all 19 atoms:
1 U 0.182 0.182 0.182
2 U 0.818 0.818 0.818
3 Zn 0.000 0.500 0.500
4 Zn 0.136 0.136 0.666
5 Zn 0.136 0.666 0.136
6 Zn 0.220 0.500 0.780
7 Zn 0.220 0.780 0.500
8 Zn 0.334 0.864 0.864
9 Zn 0.500 0.000 0.500
10 Zn 0.500 0.220 0.780
11 Zn 0.500 0.500 0.000
12 Zn 0.500 0.780 0.220
13 Zn 0.666 0.136 0.136
14 Zn 0.780 0.220 0.500
15 Zn 0.780 0.500 0.220
16 Zn 0.864 0.334 0.864
17 Zn 0.864 0.864 0.334
18 Tc 0.364 0.364 0.364
19 Tc 0.636 0.636 0.636


A plane-wave DFT calculation with PBE was carried out for a relaxed structure of UZnTc2.

Values from the calculation:
Energy above the lowest structure with this stoichiometry, meV per atom: 184

Cell lengths 4.551, 4.551, 4.551 Å; angles 60.00, 60.00, 60.00 degrees
Fractional coordinates of all 4 atoms:
1 U 0.000 0.000 0.000
2 Zn 0.500 0.500 0.500
3 Tc 0.250 0.250 0.250
4 Tc 0.750 0.750 0.750


A plane-wave DFT calculation with PBE was carried out for a relaxed structure of UZn4Tc.

Cell lengths 5.157, 5.157, 5.157 Å; angles 60.00, 60.00, 60.00 degrees
Fractional coordinates of all 6 atoms:
1 U 0.000 0.000 0.000
2 Zn 0.376 0.376 0.376
3 Zn 0.376 0.376 0.871
4 Zn 0.376 0.871 0.376
5 Zn 0.871 0.376 0.376
6 Tc 0.750 0.750 0.750


A plane-wave DFT calculation with PBE was carried out for a relaxed structure of UZn3Tc2.

Cell lengths 6.345, 6.345, 5.840 Å; angles 107.54, 107.54, 82.41 degrees
Fractional coordinates of all 12 atoms:
1 U 0.132 0.868 0.750
2 U 0.868 0.132 0.250
3 Zn 0.251 0.749 0.250
4 Zn 0.337 0.353 0.553
5 Zn 0.353 0.337 0.053
6 Zn 0.647 0.663 0.947
7 Zn 0.663 0.647 0.447
8 Zn 0.749 0.251 0.750
9 Tc 0.021 0.550 0.774
10 Tc 0.450 0.979 0.726
11 Tc 0.550 0.021 0.274
12 Tc 0.979 0.450 0.226


A plane-wave DFT calculation with PBE was carried out for a relaxed structure of UZn2Tc.

Values from the calculation:
Energy above the lowest structure with this stoichiometry, meV per atom: 107

Cell lengths 5.201, 4.686, 6.341 Å; angles 90.00, 113.30, 90.00 degrees
Fractional coordinates of all 8 atoms:
1 U 0.101 0.250 0.356
2 U 0.899 0.750 0.644
3 Zn 0.257 0.250 0.929
4 Zn 0.322 0.750 0.186
5 Zn 0.678 0.250 0.814
6 Zn 0.743 0.750 0.071
7 Tc 0.343 0.750 0.636
8 Tc 0.657 0.250 0.364


A plane-wave DFT calculation with PBE was carried out for a relaxed structure of Zr5UTc6.

Cell lengths 7.350, 7.350, 6.602 Å; angles 90.00, 90.00, 142.76 degrees
Fractional coordinates of all 12 atoms:
1 Zr 0.000 0.000 0.000
2 Zr 0.330 0.670 0.500
3 Zr 0.332 0.668 0.000
4 Zr 0.668 0.332 0.000
5 Zr 0.670 0.330 0.500
6 U 0.000 0.000 0.500
7 Tc 0.161 0.839 0.257
8 Tc 0.161 0.839 0.743
9 Tc 0.500 0.500 0.261
10 Tc 0.500 0.500 0.739
11 Tc 0.839 0.161 0.257
12 Tc 0.839 0.161 0.743


A plane-wave DFT calculation with PBE was carried out for a relaxed structure of Zr2UTc4.

Cell lengths 5.574, 5.574, 5.574 Å; angles 109.01, 109.01, 110.39 degrees
Fractional coordinates of all 7 atoms:
1 Zr 0.000 0.500 0.500
2 Zr 0.500 0.000 0.500
3 U 0.000 0.000 0.000
4 Tc 0.000 0.000 0.500
5 Tc 0.000 0.500 0.000
6 Tc 0.500 0.000 0.000
7 Tc 0.500 0.500 0.500


A plane-wave DFT calculation with PBE was carried out for a relaxed structure of ZrUTc.

Cell lengths 7.402, 7.402, 7.402 Å; angles 155.97, 155.97, 34.24 degrees
Fractional coordinates of all 3 atoms:
1 Zr 0.000 0.000 0.000
2 U 0.200 0.200 0.000
3 Tc 0.815 0.815 0.000


A plane-wave DFT calculation with PBE was carried out for a relaxed structure of ZrUTc2.

Cell lengths 4.726, 4.726, 3.301 Å; angles 90.00, 90.00, 90.00 degrees
Fractional coordinates of all 4 atoms:
1 Zr 0.000 0.000 0.000
2 U 0.500 0.500 0.000
3 Tc 0.000 0.500 0.500
4 Tc 0.500 0.000 0.500


Summary of DFT total energy in eV/atom
-6.16, -9.20, -8.48, -3.34, -8.30, -4.40, -5.94, -6.05, -10.06, -9.74, -9.35, -10.36
(order as listed above)
Summary of calculated formation energy in eV per atom
-0.109, 0.136, -0.161, -0.053, 0.023, 0.057, 0.033, -0.003, -0.372, 0.236, 0.716, -0.214
(order as listed above)